Material: HgAuClF2
Method: DFT, PBE
State: optimized geometry

## Properties
- Energy relative to the elements, uncorrected: -553 meV/atom
- SG: P4/mmm (123)
- Uncorrected energy: -2.386 eV/atom

Lattice parameters (Å, degrees): 4.313 5.945 4.313 90.00 90.00 90.00
Sites, in units of the cell vectors:
F (0.000, 0.000, 0.500)
F (0.500, 0.000, 0.000)
Au (0.500, 0.500, 0.500)
Hg (0.000, 0.000, 0.000)
Cl (0.000, 0.500, 0.000)

=====

Material: AuICl2F
Method: DFT, PBE
State: optimized geometry

## Properties
- Energy relative to the elements, uncorrected: 156 meV/atom
- SG: P4/mmm (123)
- Uncorrected energy: -1.922 eV/atom

Lattice parameters (Å, degrees): 5.523 4.513 5.523 90.00 90.00 90.00
Sites, in units of the cell vectors:
I (0.000, 0.000, 0.000)
F (0.000, 0.500, 0.000)
Au (0.500, 0.500, 0.500)
Cl (0.000, 0.000, 0.500)
Cl (0.500, 0.000, 0.000)

=====

Material: K2AuCl4F2
Method: DFT, PBE
State: optimized geometry

## Properties
- Energy relative to the elements, uncorrected: -1244 meV/atom
- SG: I4/mmm (139)
- Uncorrected energy: -3.088 eV/atom

Lattice parameters (Å, degrees): 6.755 6.755 6.755 92.61 118.51 118.51
Sites, in units of the cell vectors:
K (0.500, 0.750, 0.250)
K (0.500, 0.250, 0.750)
Au (0.000, 0.000, 0.000)
Cl (0.000, 0.748, 0.252)
Cl (0.496, 0.748, 0.748)
Cl (0.000, 0.252, 0.748)
Cl (0.504, 0.252, 0.252)
F (0.000, 0.785, 0.785)
F (0.000, 0.215, 0.215)

=====

Material: K2AuCl2F4
Method: DFT, PBE
State: optimized geometry

## Properties
- Energy relative to the elements, uncorrected: -1538 meV/atom
- SG: I4/mmm (139)
- Uncorrected energy: -3.389 eV/atom

Lattice parameters (Å, degrees): 6.286 6.286 6.286 97.48 115.78 115.78
Sites, in units of the cell vectors:
K (0.500, 0.750, 0.250)
K (0.500, 0.250, 0.750)
Au (0.000, 0.000, 0.000)
Cl (0.000, 0.719, 0.719)
Cl (0.000, 0.281, 0.281)
F (0.000, 0.778, 0.222)
F (0.557, 0.778, 0.778)
F (0.000, 0.222, 0.778)
F (0.443, 0.222, 0.222)

=====

Material: AuN2ClF
Method: DFT, PBE
State: optimized geometry

## Properties
- Energy relative to the elements, uncorrected: 2043 meV/atom
- SG: P4/mmm (123)
- Uncorrected energy: -2.686 eV/atom

Lattice parameters (Å, degrees): 4.005 4.005 3.979 90.00 90.00 90.00
Sites, in units of the cell vectors:
N (0.000, 0.500, 0.000)
N (0.500, 0.000, 0.000)
F (0.000, 0.000, 0.500)
Au (0.500, 0.500, 0.500)
Cl (0.000, 0.000, 0.000)

=====

Material: AuN2ClF
Method: DFT, PBE
State: optimized geometry

## Properties
- Energy relative to the elements, uncorrected: 1491 meV/atom
- SG: P4/mmm (123)
- Uncorrected energy: -3.239 eV/atom

Lattice parameters (Å, degrees): 4.192 4.192 4.297 90.00 90.00 90.00
Sites, in units of the cell vectors:
N (0.000, 0.500, 0.000)
N (0.500, 0.000, 0.000)
F (0.000, 0.000, 0.500)
Au (0.000, 0.000, 0.000)
Cl (0.500, 0.500, 0.500)

=====

Material: Nb2AuClF
Method: DFT, PBE
State: optimized geometry

## Properties
- Energy relative to the elements, uncorrected: 977 meV/atom
- SG: P4/mmm (123)
- Uncorrected energy: -4.450 eV/atom

Lattice parameters (Å, degrees): 5.199 5.199 4.500 90.00 90.00 90.00
Sites, in units of the cell vectors:
Nb (0.000, 0.500, 0.000)
Nb (0.500, 0.000, 0.000)
F (0.000, 0.000, 0.500)
Au (0.000, 0.000, 0.000)
Cl (0.500, 0.500, 0.500)

=====

Material: P2AuClF
Method: DFT, PBE
State: optimized geometry

## Properties
- Energy relative to the elements, uncorrected: 675 meV/atom
- SG: P4/mmm (123)
- Uncorrected energy: -2.888 eV/atom

Lattice parameters (Å, degrees): 4.123 4.123 5.536 90.00 90.00 90.00
Sites, in units of the cell vectors:
P (0.000, 0.500, 0.000)
P (0.500, 0.000, 0.000)
F (0.000, 0.000, 0.000)
Au (0.500, 0.500, 0.500)
Cl (0.000, 0.000, 0.500)

=====

Material: PAuClF3
Method: DFT, PBE
State: optimized geometry

## Properties
- Energy relative to the elements, uncorrected: -1722 meV/atom
- SG: Pnma (62)
- Uncorrected energy: -4.414 eV/atom

Lattice parameters (Å, degrees): 4.976 5.653 18.839 90.00 90.00 90.00
Sites, in units of the cell vectors:
P (0.523, 0.750, 0.645)
P (0.023, 0.250, 0.855)
P (0.977, 0.750, 0.145)
P (0.477, 0.250, 0.355)
Au (0.148, 0.250, 0.968)
Au (0.648, 0.750, 0.532)
Au (0.852, 0.750, 0.032)
Au (0.352, 0.250, 0.468)
Cl (0.171, 0.250, 0.580)
Cl (0.829, 0.750, 0.420)
Cl (0.329, 0.250, 0.080)
Cl (0.671, 0.750, 0.920)
F (0.128, 0.461, 0.809)
F (0.721, 0.250, 0.833)
F (0.372, 0.039, 0.309)
F (0.372, 0.461, 0.309)
F (0.628, 0.539, 0.691)
F (0.628, 0.961, 0.691)
F (0.779, 0.250, 0.333)
F (0.279, 0.750, 0.167)
F (0.872, 0.539, 0.191)
F (0.872, 0.961, 0.191)
F (0.221, 0.750, 0.667)
F (0.128, 0.039, 0.809)

=====

Material: P2AuClF
Method: DFT, PBE
State: optimized geometry

## Properties
- Energy relative to the elements, uncorrected: 726 meV/atom
- SG: P4/mmm (123)
- Uncorrected energy: -2.837 eV/atom

Lattice parameters (Å, degrees): 4.802 4.802 5.030 90.00 90.00 90.00
Sites, in units of the cell vectors:
P (0.000, 0.500, 0.000)
P (0.500, 0.000, 0.000)
F (0.500, 0.500, 0.500)
Au (0.000, 0.000, 0.000)
Cl (0.000, 0.000, 0.500)

=====

Material: Rb2AuCl4F2
Method: DFT, PBE
State: optimized geometry

## Properties
- Energy relative to the elements, uncorrected: -1268 meV/atom
- SG: I4/mmm (139)
- Uncorrected energy: -3.084 eV/atom

Lattice parameters (Å, degrees): 7.097 7.097 7.097 85.28 122.76 122.76
Sites, in units of the cell vectors:
Rb (0.500, 0.750, 0.250)
Rb (0.500, 0.250, 0.750)
Au (0.000, 0.000, 0.000)
Cl (0.000, 0.755, 0.245)
Cl (0.511, 0.755, 0.755)
Cl (0.000, 0.245, 0.755)
Cl (0.489, 0.245, 0.245)
F (0.000, 0.787, 0.787)
F (0.000, 0.213, 0.213)

=====

Material: Rb3AuClF
Method: DFT, PBE
State: optimized geometry

## Properties
- Energy relative to the elements, uncorrected: -1602 meV/atom
- SG: P2_1/m (11)
- Uncorrected energy: -3.252 eV/atom

Lattice parameters (Å, degrees): 4.686 8.052 11.558 102.49 90.00 90.00
Sites, in units of the cell vectors:
Rb (0.750, 0.040, 0.174)
Rb (0.250, 0.960, 0.826)
Rb (0.250, 0.800, 0.470)
Rb (0.750, 0.200, 0.530)
Rb (0.750, 0.568, 0.180)
Rb (0.250, 0.432, 0.820)
Au (0.250, 0.350, 0.327)
Au (0.750, 0.650, 0.673)
Cl (0.250, 0.762, 0.054)
Cl (0.750, 0.238, 0.946)
F (0.250, 0.123, 0.639)
F (0.750, 0.877, 0.361)